Material: PmPuIrPt
Method: DFT, PBE
State: optimized geometry

Cell and atoms, written as POSCAR:
```
PmPuIrPt
1.0
-1.1477 -0.5578 4.7981
-0.6867 -4.5452 1.8761
3.3311 -1.9178 3.1426
Pt Pu Pm Ir
1 1 1 1
Direct
0.7500 0.7500 0.7500
0.5000 0.5000 0.5000
0.0000 0.0000 0.0000
0.2500 0.2500 0.2500
```

density of states at the Fermi level: 2.594 states/eV per atom
energy above the most stable polymorph in this dataset: 0.39 eV/f.u.